Hg2Pd3S4 after structural relaxation. Source: the Alexandria database, functional PBE-GGA.

abc: 8.1852 7.7520 5.6582
angles: 73.37 65.15 41.48
Closest atoms and distances in Å follow each position.
Fractional coordinates of all 9 atoms:
Hg (0.1254, 0.1254, 0.8746)  2 S 2.51
Hg (0.8746, 0.8746, 0.1254)  2 S 2.51
Pd (0.0000, 0.0000, 0.5000)  4 S 2.41
Pd (0.5000, 0.5000, 0.0000)  4 S 2.41
Pd (0.5000, 0.5000, 0.5000)  4 S 2.49
S (0.1683, 0.5996, 0.4004)  3 Pd 2.41-2.49, 1 Hg 2.51
S (0.4004, 0.8317, 0.1683)  3 Pd 2.41-2.49, 1 Hg 2.51
S (0.5996, 0.1683, 0.8317)  3 Pd 2.41-2.49, 1 Hg 2.51
S (0.8317, 0.4004, 0.5996)  3 Pd 2.41-2.49, 1 Hg 2.51

Size of the total moment (μB per atom): 0.000
Formation energy without anion corrections (eV/atom): -0.11
Symmetry: Fmmm, No. 69